Density functional theory data (GGA-PBEsol) for crystalline PrPt5 at its relaxed geometry.

Output
Uncorrected energy ... -7.350 eV per atom
Formation energy from the elements ... -0.683 eV/atom
Magnetization ... 0.00 μB per atom

```
PrPt5
1.0
5.359 0.000 0.000
-2.679 4.641 0.000
0.000 0.000 4.367
Pr Pt
1 5
Direct
0.000 0.000 0.000
0.000 0.500 0.500
0.333 0.667 0.000
0.500 0.000 0.500
0.500 0.500 0.500
0.667 0.333 0.000
```

=====

Density functional theory data (GGA-PBEsol) for crystalline InSeN2Cl at its relaxed geometry.

Output
Uncorrected energy ... -3.718 eV per atom
Formation energy from raw total energies ... 1.461 eV per atom
Magnetization ... 0.76 μB per atom

```
InSeN2Cl
1.0
4.181 0.000 0.000
0.000 4.181 0.000
0.000 0.000 5.782
In Se N Cl
1 1 2 1
Direct
0.000 0.000 0.000
0.000 0.000 0.500
0.000 0.500 0.000
0.500 0.000 0.000
0.500 0.500 0.500
```

=====

Density functional theory data (GGA-PBEsol) for crystalline KTc2Ir at its relaxed geometry.

Output
Energy above the lowest structure with this stoichiometry ... 0.416 eV/atom
Uncorrected energy ... -7.263 eV per atom
Formation energy from the elements ... 1.109 eV/atom
Magnetization ... 0.00 μB per atom

```
KTc2Ir
1.0
-1.437 2.525 4.782
1.437 -2.525 4.782
1.437 2.525 -4.782
K Tc Ir
1 2 1
Direct
0.000 0.000 0.000
0.284 0.784 0.500
0.478 0.478 0.000
0.709 0.209 0.500
```

=====

Density functional theory data (GGA-PBEsol) for crystalline ScInOs2 at its relaxed geometry.

Output
Uncorrected energy ... -8.229 eV per atom
Formation energy from the elements ... 0.276 eV/atom
Magnetization ... 0.00 μB per atom

```
ScInOs2
1.0
1.478 0.854 8.733
-1.478 0.854 8.733
0.000 -1.707 8.733
Sc In Os
1 1 2
Direct
0.000 0.000 0.000
0.500 0.500 0.500
0.252 0.252 0.252
0.748 0.748 0.748
```

=====

Density functional theory data (GGA-PBEsol) for crystalline CdAgP2Cl at its relaxed geometry.

Output
Uncorrected energy ... -2.661 eV per atom
Formation energy from raw total energies ... 0.959 eV per atom
Magnetization ... 0.34 μB per atom

```
CdAgP2Cl
1.0
4.897 0.000 0.000
0.000 4.897 0.000
0.000 0.000 5.190
Cd Ag P Cl
1 1 2 1
Direct
0.000 0.000 0.000
0.500 0.500 0.500
0.000 0.500 0.000
0.500 0.000 0.000
0.000 0.000 0.500
```

=====

Density functional theory data (GGA-PBEsol) for crystalline Ta2PbCl at its relaxed geometry.

Output
Energy above the lowest structure with this stoichiometry ... 0.372 eV/atom
Uncorrected energy ... -7.041 eV per atom
Formation energy from raw total energies ... 0.736 eV per atom
Magnetization ... 0.00 μB per atom

```
Ta2PbCl
1.0
-2.142 2.142 4.193
2.142 -2.142 4.193
2.142 2.142 -4.193
Ta Pb Cl
2 1 1
Direct
0.000 0.000 0.000
0.750 0.250 0.500
0.250 0.750 0.500
0.500 0.500 0.000
```

=====

- What is the magnetization in the fourth record?
  0.00 μB per atom